# BeAlCoRe

Crystalline BeAlCoRe at its relaxed geometry (GGA-PBE, OQMD).

Summary:
Mass density in kg/m3: 9799
Energy above the lowest structure with this stoichiometry in eV/atom: 0.062
Calculated volume in Å³/atom: 11.9

Cell: 4.0692 4.0692 4.0692 Å, 60.00 60.00 60.00°
Fractional coordinates of all 4 atoms:
1 Be 0.0000 0.0000 0.0000
2 Al 0.5000 0.5000 0.5000
3 Co 0.7500 0.7500 0.7500
4 Re 0.2500 0.2500 0.2500